# MnInCl3 PBE optimized geometry
data_MnInCl3
_symmetry_space_group_name_H-M 'C 1 2/m 1'
_symmetry_Int_Tables_number 12
_cell_length_a 17.338
_cell_length_b 3.795
_cell_length_c 9.161
_cell_angle_alpha 90.00
_cell_angle_beta 100.70
_cell_angle_gamma 90.00
loop_
_symmetry_equiv_pos_as_xyz
'x,y,z'
'-x,-y,-z'
'-x,y,-z'
'x,-y,z'
'x+1/2,y+1/2,z'
'-x+1/2,-y+1/2,-z'
'-x+1/2,y+1/2,-z'
'x+1/2,-y+1/2,z'
loop_
_atom_site_label
_atom_site_fract_x
_atom_site_fract_y
_atom_site_fract_z
Mn1 0.200 0.000 0.331
In1 0.105 0.500 0.924
Cl1 0.072 0.000 0.163
Cl2 0.165 0.500 0.496
Cl3 0.248 0.500 0.178
# **ρ**: 3.097 g cm⁻³
# **Calculated volume**: 592.27 Å³/cell
# **E_tot**: -4.465 eV per atom

# Li4TbPu3Se8 PBE optimized geometry
data_Li4TbPu3Se8
_symmetry_space_group_name_H-M 'C 1 2/m 1'
_symmetry_Int_Tables_number 12
_cell_length_a 13.774
_cell_length_b 8.262
_cell_length_c 8.005
_cell_angle_alpha 90.00
_cell_angle_beta 123.06
_cell_angle_gamma 90.00
loop_
_symmetry_equiv_pos_as_xyz
'x,y,z'
'-x,-y,-z'
'-x,y,-z'
'x,-y,z'
'x+1/2,y+1/2,z'
'-x+1/2,-y+1/2,-z'
'-x+1/2,y+1/2,-z'
'x+1/2,-y+1/2,z'
loop_
_atom_site_label
_atom_site_fract_x
_atom_site_fract_y
_atom_site_fract_z
Li1 0.000 0.000 0.000
Li2 0.000 0.500 0.000
Li3 0.250 0.250 0.500
Tb1 0.000 0.000 0.500
Pu1 0.000 0.500 0.500
Pu2 0.250 0.250 0.000
Se1 0.003 0.248 0.249
Se2 0.248 0.000 0.250
Se3 0.250 0.000 0.747
# **ρ**: 6.744 g cm⁻³
# **Calculated volume**: 763.45 Å³/cell
# **E_tot**: -6.641 eV per atom